# Nd2BeGe4Ir3, relaxed, DFT PBE
# - crystal system = tetragonal
data_Nd2BeGe4Ir3
_chemical_formula_sum 'Nd2 Be1 Ge4 Ir3'
_cell_length_a 4.254
_cell_length_b 4.254
_cell_length_c 10.202
_cell_angle_alpha 90.00
_cell_angle_beta 90.00
_cell_angle_gamma 90.00
_symmetry_space_group_name_H-M 'P -4 m 2'
_symmetry_Int_Tables_number 115
loop_
_symmetry_equiv_pos_as_xyz
'x,y,z'
'y,-x,-z'
'-x,-y,z'
'-y,x,-z'
'-x,y,z'
'-y,-x,-z'
'x,-y,z'
'y,x,-z'
loop_
_atom_site_label
_atom_site_type_symbol
_atom_site_fract_x
_atom_site_fract_y
_atom_site_fract_z
Nd1 Nd 0.000 0.500 0.249
Be1 Be 0.000 0.000 0.500
Ge1 Ge 0.000 0.000 0.000
Ge2 Ge 0.000 0.500 0.631
Ge3 Ge 0.500 0.500 0.000
Ir1 Ir 0.000 0.500 0.873
Ir2 Ir 0.500 0.500 0.500

# LaCrPt2, relaxed, DFT PBE
# - excess energy over the best structure of this formula in the dataset (eV/atom) = 0.179
# - crystal system = tetragonal
data_LaCrPt2
_chemical_formula_sum 'La1 Cr1 Pt2'
_cell_length_a 3.413
_cell_length_b 3.413
_cell_length_c 6.772
_cell_angle_alpha 90.00
_cell_angle_beta 90.00
_cell_angle_gamma 90.00
_symmetry_space_group_name_H-M 'P 4/m m m'
_symmetry_Int_Tables_number 123
_symmetry_space_group_name_Hall '-P 4 2'
loop_
_atom_site_label
_atom_site_type_symbol
_atom_site_fract_x
_atom_site_fract_y
_atom_site_fract_z
La1 La 0.000 0.000 0.000
Cr1 Cr 0.000 0.000 0.500
Pt1 Pt 0.500 0.500 0.295

So what do the calculations give for energy of formation? Going down the list: -631, -481 meV/atom.